No. 1
# SiMo4Rh | the Alexandria database | PBE | optimized geometry
# total moment	0.00	μB per formula unit
# total energy	-53.49	eV/f.u.
# DOS at the Fermi energy	5.4	states/eV/f.u.
data_SiMo4Rh
_cell_length_a 7.290
_cell_length_b 7.290
_cell_length_c 7.290
_cell_angle_alpha 90.00
_cell_angle_beta 90.00
_cell_angle_gamma 90.00
_space_group_name_H-M_alt 'F -4 3 m'
_space_group_IT_number 216
_space_group_name_Hall 'F -4 2 3'
loop_
_atom_site_label
_atom_site_fract_x
_atom_site_fract_y
_atom_site_fract_z
Si1 0.000 0.000 0.000
Mo1 0.126 0.126 0.626
Rh1 0.250 0.250 0.250

---

No. 2
# Si2MoRh | the Alexandria database | PBE | optimized geometry
# total moment	0.00	μB per formula unit
# total energy	-30.69	eV/f.u.
# DOS at the Fermi energy	1.9	states/eV/f.u.
data_Si2MoRh
_cell_length_a 2.853
_cell_length_b 3.784
_cell_length_c 5.282
_cell_angle_alpha 90.00
_cell_angle_beta 90.00
_cell_angle_gamma 90.00
_space_group_name_H-M_alt 'P m m m'
_space_group_IT_number 47
loop_
_space_group_symop_operation_xyz
'x,y,z'
'-x,-y,-z'
'-x,-y,z'
'x,y,-z'
'x,-y,-z'
'-x,y,z'
'-x,y,-z'
'x,-y,z'
loop_
_atom_site_label
_atom_site_fract_x
_atom_site_fract_y
_atom_site_fract_z
Si1 0.000 0.000 0.233
Mo1 0.500 0.500 0.000
Rh1 0.000 0.500 0.500

---

No. 3
# SiMoRh2 | the Alexandria database | PBE | optimized geometry
# total moment	0.00	μB per formula unit
# total energy	-31.75	eV/f.u.
# DOS at the Fermi energy	3.0	states/eV/f.u.
data_SiMoRh2
_cell_length_a 2.849
_cell_length_b 4.427
_cell_length_c 4.519
_cell_angle_alpha 90.00
_cell_angle_beta 90.00
_cell_angle_gamma 90.00
_space_group_name_H-M_alt 'P m m m'
_space_group_IT_number 47
loop_
_space_group_symop_operation_xyz
'x,y,z'
'-x,-y,-z'
'-x,-y,z'
'x,y,-z'
'x,-y,-z'
'-x,y,z'
'-x,y,-z'
'x,-y,z'
loop_
_atom_site_label
_atom_site_fract_x
_atom_site_fract_y
_atom_site_fract_z
Si1 0.000 0.000 0.000
Mo1 0.500 0.000 0.500
Rh1 0.000 0.500 0.500
Rh2 0.500 0.500 0.000

---

No. 4
# Si2MoRh | the Alexandria database | PBE | optimized geometry
# total moment	0.00	μB per formula unit
# total energy	-30.89	eV/f.u.
# DOS at the Fermi energy	2.2	states/eV/f.u.
data_Si2MoRh
_cell_length_a 9.165
_cell_length_b 2.844
_cell_length_c 4.403
_cell_angle_alpha 90.00
_cell_angle_beta 106.81
_cell_angle_gamma 90.00
_space_group_name_H-M_alt 'C 1 m 1'
_space_group_IT_number 8
loop_
_space_group_symop_operation_xyz
'x,y,z'
'x,-y,z'
'x+1/2,y+1/2,z'
'x+1/2,-y+1/2,z'
loop_
_atom_site_label
_atom_site_fract_x
_atom_site_fract_y
_atom_site_fract_z
Si1 0.000 0.000 0.000
Si2 0.242 0.500 0.373
Mo1 0.490 0.000 0.490
Rh1 0.254 0.000 0.888

---

No. 5
# SiMoRh3 | the Alexandria database | PBE | optimized geometry
# total moment	3.00	μB per formula unit
# total energy	-36.03	eV/f.u.
# ΔE to the lowest computed polymorph	0.0000	eV per atom
# DOS at the Fermi energy	4.6	states/eV/f.u.
data_SiMoRh3
_cell_length_a 4.372
_cell_length_b 4.372
_cell_length_c 4.372
_cell_angle_alpha 90.00
_cell_angle_beta 90.00
_cell_angle_gamma 90.00
_space_group_name_H-M_alt 'P m -3 m'
_space_group_IT_number 221
_space_group_name_Hall '-P 4 2 3'
loop_
_atom_site_label
_atom_site_fract_x
_atom_site_fract_y
_atom_site_fract_z
Si1 0.000 0.000 0.000
Mo1 0.500 0.500 0.500
Rh1 0.000 0.000 0.500

---

No. 6
# SiMoRh2 | the Alexandria database | PBE | optimized geometry
# total moment	0.00	μB per formula unit
# total energy	-32.01	eV/f.u.
# DOS at the Fermi energy	3.6	states/eV/f.u.
data_SiMoRh2
_cell_length_a 5.446
_cell_length_b 7.454
_cell_length_c 2.789
_cell_angle_alpha 90.00
_cell_angle_beta 90.00
_cell_angle_gamma 90.00
_space_group_name_H-M_alt 'C m m m'
_space_group_IT_number 65
_space_group_name_Hall '-C 2 2'
loop_
_atom_site_label
_atom_site_fract_x
_atom_site_fract_y
_atom_site_fract_z
Si1 0.000 0.000 0.000
Mo1 0.000 0.500 0.000
Rh1 0.250 0.250 0.500

---

No. 7
# Si2MoRh | the Alexandria database | PBE | optimized geometry
# total moment	0.00	μB per formula unit
# total energy	-30.79	eV/f.u.
# DOS at the Fermi energy	1.9	states/eV/f.u.
data_Si2MoRh
_cell_length_a 5.995
_cell_length_b 5.995
_cell_length_c 5.995
_cell_angle_alpha 90.00
_cell_angle_beta 90.00
_cell_angle_gamma 90.00
_space_group_name_H-M_alt 'F m -3 m'
_space_group_IT_number 225
_space_group_name_Hall '-F 4 2 3'
loop_
_atom_site_label
_atom_site_fract_x
_atom_site_fract_y
_atom_site_fract_z
Si1 0.250 0.250 0.250
Mo1 0.000 0.000 0.000
Rh1 0.000 0.000 0.500

---

No. 8
# Si2MoRh2 | the Alexandria database | PBE | optimized geometry
# total moment	0.00	μB per formula unit
# total energy	-39.14	eV/f.u.
# DOS at the Fermi energy	3.3	states/eV/f.u.
data_Si2MoRh2
_cell_length_a 7.075
_cell_length_b 7.075
_cell_length_c 2.737
_cell_angle_alpha 90.00
_cell_angle_beta 90.00
_cell_angle_gamma 90.00
_space_group_name_H-M_alt 'P 4/m b m'
_space_group_IT_number 127
_space_group_name_Hall '-P 4 2ab'
loop_
_atom_site_label
_atom_site_fract_x
_atom_site_fract_y
_atom_site_fract_z
Si1 0.152 0.348 0.000
Mo1 0.000 0.000 0.000
Rh1 0.147 0.647 0.500

---

No. 9
# Si2MoRh | the Alexandria database | PBE | optimized geometry
# total moment	0.00	μB per formula unit
# total energy	-29.36	eV/f.u.
# DOS at the Fermi energy	1.4	states/eV/f.u.
data_Si2MoRh
_cell_length_a 2.728
_cell_length_b 2.728
_cell_length_c 7.794
_cell_angle_alpha 90.00
_cell_angle_beta 90.00
_cell_angle_gamma 90.00
_space_group_name_H-M_alt 'P 4 m m'
_space_group_IT_number 99
loop_
_space_group_symop_operation_xyz
'x,y,z'
'-y,x,z'
'-x,-y,z'
'y,-x,z'
'-x,y,z'
'y,x,z'
'x,-y,z'
'-y,-x,z'
loop_
_atom_site_label
_atom_site_fract_x
_atom_site_fract_y
_atom_site_fract_z
Si1 0.000 0.000 0.000
Si2 0.500 0.500 0.287
Mo1 0.000 0.000 0.533
Rh1 0.500 0.500 0.789

---

No. 10
# Si2MoRh | the Alexandria database | PBE | optimized geometry
# total moment	0.00	μB per formula unit
# total energy	-30.30	eV/f.u.
# DOS at the Fermi energy	2.0	states/eV/f.u.
data_Si2MoRh
_cell_length_a 3.524
_cell_length_b 3.524
_cell_length_c 8.953
_cell_angle_alpha 90.00
_cell_angle_beta 90.00
_cell_angle_gamma 90.00
_space_group_name_H-M_alt 'I -4 m 2'
_space_group_IT_number 119
_space_group_name_Hall 'I -4 -2'
loop_
_atom_site_label
_atom_site_fract_x
_atom_site_fract_y
_atom_site_fract_z
Si1 0.000 0.000 0.000
Si2 0.000 0.500 0.250
Mo1 0.000 0.500 0.750
Rh1 0.000 0.000 0.500

---

No. 11
# Si2MoRh | the Alexandria database | PBE | optimized geometry
# total moment	0.09	μB per formula unit
# total energy	-30.25	eV/f.u.
# DOS at the Fermi energy	4.5	states/eV/f.u.
data_Si2MoRh
_cell_length_a 2.8759
_cell_length_b 2.8759
_cell_length_c 23.5690
_cell_angle_alpha 90.00
_cell_angle_beta 90.00
_cell_angle_gamma 120.00
_space_group_name_H-M_alt 'R -3 m'
_space_group_IT_number 166
_space_group_name_Hall '-R 3 2"'
loop_
_atom_site_label
_atom_site_fract_x
_atom_site_fract_y
_atom_site_fract_z
Si1 0.0000 0.0000 0.2472
Mo1 0.0000 0.0000 0.0000
Rh1 0.0000 0.0000 0.5000

---

No. 12
# Si2MoRh | the Alexandria database | PBE | optimized geometry
# total moment	0.00	μB per formula unit
# total energy	-30.14	eV/f.u.
# DOS at the Fermi energy	1.8	states/eV/f.u.
data_Si2MoRh
_cell_length_a 3.461
_cell_length_b 4.441
_cell_length_c 7.265
_cell_angle_alpha 90.00
_cell_angle_beta 90.00
_cell_angle_gamma 90.00
_space_group_name_H-M_alt 'C m m m'
_space_group_IT_number 65
_space_group_name_Hall '-C 2 2'
loop_
_atom_site_label
_atom_site_fract_x
_atom_site_fract_y
_atom_site_fract_z
Si1 0.000 0.000 0.239
Mo1 0.000 0.500 0.500
Rh1 0.000 0.500 0.000

---

No. 13
# SiMoRh2 | the Alexandria database | PBE | optimized geometry
# total moment	0.64	μB per formula unit
# total energy	-32.37	eV/f.u.
# DOS at the Fermi energy	4.0	states/eV/f.u.
data_SiMoRh2
_cell_length_a 3.847
_cell_length_b 3.847
_cell_length_c 7.632
_cell_angle_alpha 90.00
_cell_angle_beta 90.00
_cell_angle_gamma 90.00
_space_group_name_H-M_alt 'I 4/m m m'
_space_group_IT_number 139
_space_group_name_Hall '-I 4 2'
loop_
_atom_site_label
_atom_site_fract_x
_atom_site_fract_y
_atom_site_fract_z
Si1 0.000 0.000 0.000
Mo1 0.000 0.000 0.500
Rh1 0.000 0.500 0.250

---

No. 14
# SiMoRh3 | the Alexandria database | PBE | optimized geometry
# total moment	0.00	μB per formula unit
# total energy	-31.98	eV/f.u.
# ΔE to the lowest computed polymorph	0.8100	eV per atom
# DOS at the Fermi energy	4.1	states/eV/f.u.
data_SiMoRh3
_cell_length_a 4.669
_cell_length_b 4.669
_cell_length_c 4.669
_cell_angle_alpha 90.00
_cell_angle_beta 90.00
_cell_angle_gamma 90.00
_space_group_name_H-M_alt 'P m -3 m'
_space_group_IT_number 221
_space_group_name_Hall '-P 4 2 3'
loop_
_atom_site_label
_atom_site_fract_x
_atom_site_fract_y
_atom_site_fract_z
Si1 0.000 0.000 0.000
Mo1 0.500 0.500 0.500
Rh1 0.000 0.500 0.500

---

No. 15
# Si2MoRh | the Alexandria database | PBE | optimized geometry
# total moment	0.00	μB per formula unit
# total energy	-30.97	eV/f.u.
# DOS at the Fermi energy	2.2	states/eV/f.u.
data_Si2MoRh
_cell_length_a 4.250
_cell_length_b 4.250
_cell_length_c 2.989
_cell_angle_alpha 90.00
_cell_angle_beta 90.00
_cell_angle_gamma 90.00
_space_group_name_H-M_alt 'P 4/m m m'
_space_group_IT_number 123
_space_group_name_Hall '-P 4 2'
loop_
_atom_site_label
_atom_site_fract_x
_atom_site_fract_y
_atom_site_fract_z
Si1 0.000 0.500 0.000
Mo1 0.000 0.000 0.500
Rh1 0.500 0.500 0.500

---

No. 16
# SiMoRh2 | the Alexandria database | PBE | optimized geometry
# total moment	0.00	μB per formula unit
# total energy	-32.21	eV/f.u.
# DOS at the Fermi energy	2.2	states/eV/f.u.
data_SiMoRh2
_cell_length_a 2.7911
_cell_length_b 2.7911
_cell_length_c 25.1268
_cell_angle_alpha 90.00
_cell_angle_beta 90.00
_cell_angle_gamma 120.00
_space_group_name_H-M_alt 'R -3 m'
_space_group_IT_number 166
_space_group_name_Hall '-R 3 2"'
loop_
_atom_site_label
_atom_site_fract_x
_atom_site_fract_y
_atom_site_fract_z
Si1 0.0000 0.0000 0.0000
Mo1 0.0000 0.0000 0.5000
Rh1 0.0000 0.0000 0.2577

---

No. 17
# SiMoRh2 | the Alexandria database | PBE | optimized geometry
# total moment	0.00	μB per formula unit
# total energy	-32.27	eV/f.u.
# DOS at the Fermi energy	3.0	states/eV/f.u.
data_SiMoRh2
_cell_length_a 2.791
_cell_length_b 3.794
_cell_length_c 5.343
_cell_angle_alpha 90.00
_cell_angle_beta 90.00
_cell_angle_gamma 90.00
_space_group_name_H-M_alt 'P m m m'
_space_group_IT_number 47
loop_
_space_group_symop_operation_xyz
'x,y,z'
'-x,-y,-z'
'-x,-y,z'
'x,y,-z'
'x,-y,-z'
'-x,y,z'
'-x,y,-z'
'x,-y,z'
loop_
_atom_site_label
_atom_site_fract_x
_atom_site_fract_y
_atom_site_fract_z
Si1 0.000 0.000 0.000
Mo1 0.000 0.000 0.500
Rh1 0.500 0.500 0.246

---

No. 18
# SiMoRh2 | the Alexandria database | PBE | optimized geometry
# total moment	0.00	μB per formula unit
# total energy	-32.51	eV/f.u.
# DOS at the Fermi energy	3.0	states/eV/f.u.
data_SiMoRh2
_cell_length_a 3.218
_cell_length_b 4.228
_cell_length_c 8.270
_cell_angle_alpha 90.00
_cell_angle_beta 90.00
_cell_angle_gamma 90.00
_space_group_name_H-M_alt 'I m m m'
_space_group_IT_number 71
_space_group_name_Hall '-I 2 2'
loop_
_atom_site_label
_atom_site_fract_x
_atom_site_fract_y
_atom_site_fract_z
Si1 0.000 0.000 0.000
Mo1 0.000 0.000 0.500
Rh1 0.000 0.500 0.276

---

No. 19
# Si2MoRh | the Alexandria database | PBE | optimized geometry
# total moment	0.00	μB per formula unit
# total energy	-30.34	eV/f.u.
# DOS at the Fermi energy	1.6	states/eV/f.u.
data_Si2MoRh
_cell_length_a 8.069
_cell_length_b 2.751
_cell_length_c 5.168
_cell_angle_alpha 90.00
_cell_angle_beta 102.34
_cell_angle_gamma 90.00
_space_group_name_H-M_alt 'C 1 2/m 1'
_space_group_IT_number 12
loop_
_space_group_symop_operation_xyz
'x,y,z'
'-x,-y,-z'
'-x,y,-z'
'x,-y,z'
'x+1/2,y+1/2,z'
'-x+1/2,-y+1/2,-z'
'-x+1/2,y+1/2,-z'
'x+1/2,-y+1/2,z'
loop_
_atom_site_label
_atom_site_fract_x
_atom_site_fract_y
_atom_site_fract_z
Si1 0.245 0.000 0.240
Mo1 0.000 0.000 0.500
Rh1 0.000 0.500 0.000

---

No. 20
# SiMoRh4 | the Alexandria database | PBE | optimized geometry
# total moment	0.00	μB per formula unit
# total energy	-43.71	eV/f.u.
# DOS at the Fermi energy	7.3	states/eV/f.u.
data_SiMoRh4
_cell_length_a 7.152
_cell_length_b 7.152
_cell_length_c 7.152
_cell_angle_alpha 90.00
_cell_angle_beta 90.00
_cell_angle_gamma 90.00
_space_group_name_H-M_alt 'F -4 3 m'
_space_group_IT_number 216
_space_group_name_Hall 'F -4 2 3'
loop_
_atom_site_label
_atom_site_fract_x
_atom_site_fract_y
_atom_site_fract_z
Si1 0.000 0.000 0.000
Mo1 0.250 0.250 0.750
Rh1 0.125 0.125 0.375